# ZrReAu

A geometry-optimized ZrReAu structure (GGA-PBEsol, Alexandria).

Unit cell a=4.4199 b=4.4199 c=4.4199 alpha=60.00 beta=60.00 gamma=60.00
Last column: nearest neighbours and their distance in Å.
Fractional positions:
Au 0.5000 0.5000 0.5000  4 Re 2.71
Re 0.2500 0.2500 0.2500  4 Zr 2.71, 4 Au 2.71
Zr 0.0000 0.0000 0.0000  4 Re 2.71

## Properties
Calculated formation energy, eV per atom: 0.672
Magnetic moment, μB/f.u.: 0.0
Crystal system: cubic
Electronic total energy, eV per atom: -8.11



# Ti2NbNi2

A geometry-optimized Ti2NbNi2 structure (GGA-PBEsol, Alexandria).

Unit cell a=2.8252 b=7.0692 c=7.0692 alpha=90.00 beta=90.00 gamma=90.00
Last column: nearest neighbours and their distance in Å.
Fractional positions:
Ni 0.0000 0.3750 0.8750  6 Ti 2.50-2.53, 1 Ni 2.50, 2 Nb 2.79
Ni 0.0000 0.8750 0.6250  6 Ti 2.50-2.53, 1 Ni 2.50, 2 Nb 2.79
Ni 0.0000 0.6250 0.1250  6 Ti 2.50-2.53, 1 Ni 2.50, 2 Nb 2.79
Ni 0.0000 0.1250 0.3750  6 Ti 2.50-2.53, 1 Ni 2.50, 2 Nb 2.79
Nb 0.0000 0.0000 0.0000  4 Ni 2.79, 2 Nb 2.83, 8 Ti 2.98
Nb 0.0000 0.5000 0.5000  4 Ni 2.79, 2 Nb 2.83, 8 Ti 2.98
Ti 0.5000 0.1690 0.6690  6 Ni 2.50-2.53
Ti 0.5000 0.6690 0.8310  6 Ni 2.50-2.53
Ti 0.5000 0.8310 0.3310  6 Ni 2.50-2.53
Ti 0.5000 0.3310 0.1690  6 Ni 2.50-2.53

## Properties
Calculated formation energy, eV per atom: -0.239
Magnetic moment, μB/f.u.: 0.0
Crystal system: tetragonal
Electronic total energy, eV per atom: -8.19



# K2PbAu

A geometry-optimized K2PbAu structure (GGA-PBEsol, Alexandria).

Unit cell a=3.8993 b=3.8993 c=9.8532 alpha=90.00 beta=90.00 gamma=90.00
Last column: nearest neighbours and their distance in Å.
Fractional positions:
Au 0.5000 0.5000 0.6761  4 Pb 2.92
K 0.0000 0.0000 0.9208  1 Pb 3.37, 4 Au 3.66
K 0.5000 0.5000 0.3240  1 Au 3.47, 4 Pb 3.73
Pb 0.0000 0.0000 0.5791  4 Au 2.92

## Properties
Calculated formation energy, eV per atom: -0.083
Magnetic moment, μB/f.u.: 0.0
Crystal system: tetragonal
Electronic total energy, eV per atom: -2.63



calculated formation energy of number 3 (K2PbAu)?
-0.083 eV per atom